*one*
DFT (GGA-PBE) results for a relaxed SmTmCdOs crystal.

Results
As for the crystal system: tetragonal. As for the space-group type: P4mm (99).

The structure in CIF format:
```
data_SmTmCdOs
_symmetry_space_group_name_H-M 'P 1'
_symmetry_Int_Tables_number 1
_symmetry_space_group_name_Hall 'P 1'
_cell_length_a 3.459
_cell_length_b 3.459
_cell_length_c 7.821
_cell_angle_alpha 90.00
_cell_angle_beta 90.00
_cell_angle_gamma 90.00
loop_
_atom_site_label
_atom_site_type_symbol
_atom_site_fract_x
_atom_site_fract_y
_atom_site_fract_z
Sm1 Sm 0.000 0.000 0.000
Tm1 Tm 0.000 0.000 0.574
Cd1 Cd 0.500 0.500 0.301
Os1 Os 0.500 0.500 0.776
```


*two*
DFT (GGA-PBE) results for a relaxed SmTmCdOs crystal.

Results
As for the crystal system: cubic. As for the space-group type: F-43m (216).

The structure in CIF format:
```
data_SmTmCdOs
_symmetry_space_group_name_H-M 'P 1'
_symmetry_Int_Tables_number 1
_symmetry_space_group_name_Hall 'P 1'
_cell_length_a 7.122
_cell_length_b 7.122
_cell_length_c 7.122
_cell_angle_alpha 90.00
_cell_angle_beta 90.00
_cell_angle_gamma 90.00
loop_
_atom_site_label
_atom_site_type_symbol
_atom_site_fract_x
_atom_site_fract_y
_atom_site_fract_z
Sm1 Sm 0.000 0.000 0.000
Sm2 Sm 0.000 0.500 0.500
Sm3 Sm 0.500 0.000 0.500
Sm4 Sm 0.500 0.500 0.000
Tm1 Tm 0.000 0.000 0.500
Tm2 Tm 0.000 0.500 0.000
Tm3 Tm 0.500 0.000 0.000
Tm4 Tm 0.500 0.500 0.500
Cd1 Cd 0.250 0.250 0.250
Cd2 Cd 0.250 0.750 0.750
Cd3 Cd 0.750 0.250 0.750
Cd4 Cd 0.750 0.750 0.250
Os1 Os 0.250 0.250 0.750
Os2 Os 0.250 0.750 0.250
Os3 Os 0.750 0.250 0.250
Os4 Os 0.750 0.750 0.750
```


Name the least stable of them. *two*.


*one*
DFT (GGA-PBE) results for a relaxed SrCdOs3 crystal.

Results
As for the crystal system: cubic. As for the space-group type: Pm-3m (221).

The structure in CIF format:
```
data_SrCdOs3
_symmetry_space_group_name_H-M 'P 1'
_symmetry_Int_Tables_number 1
_symmetry_space_group_name_Hall 'P 1'
_cell_length_a 4.954
_cell_length_b 4.954
_cell_length_c 4.954
_cell_angle_alpha 90.00
_cell_angle_beta 90.00
_cell_angle_gamma 90.00
loop_
_atom_site_label
_atom_site_type_symbol
_atom_site_fract_x
_atom_site_fract_y
_atom_site_fract_z
Sr1 Sr 0.000 0.000 0.000
Cd1 Cd 0.500 0.500 0.500
Os1 Os 0.000 0.500 0.500
Os2 Os 0.500 0.000 0.500
Os3 Os 0.500 0.500 0.000
```


*two*
DFT (GGA-PBE) results for a relaxed SrCdOs3 crystal.

Results
As for the crystal system: cubic. As for the space-group type: Pm-3m (221).

The structure in CIF format:
```
data_SrCdOs3
_symmetry_space_group_name_H-M 'P 1'
_symmetry_Int_Tables_number 1
_symmetry_space_group_name_Hall 'P 1'
_cell_length_a 4.905
_cell_length_b 4.905
_cell_length_c 4.905
_cell_angle_alpha 90.00
_cell_angle_beta 90.00
_cell_angle_gamma 90.00
loop_
_atom_site_label
_atom_site_type_symbol
_atom_site_fract_x
_atom_site_fract_y
_atom_site_fract_z
Sr1 Sr 0.000 0.000 0.000
Cd1 Cd 0.500 0.500 0.500
Os1 Os 0.000 0.000 0.500
Os2 Os 0.000 0.500 0.000
Os3 Os 0.500 0.000 0.000
```


Name the least stable of them. *two*.


*one*
DFT (GGA-PBE) results for a relaxed SrCd3Os crystal.

Results
As for the crystal system: cubic. As for the space-group type: Pm-3m (221).

The structure in CIF format:
```
data_SrCd3Os
_symmetry_space_group_name_H-M 'P 1'
_symmetry_Int_Tables_number 1
_symmetry_space_group_name_Hall 'P 1'
_cell_length_a 6.153
_cell_length_b 6.153
_cell_length_c 6.153
_cell_angle_alpha 90.00
_cell_angle_beta 90.00
_cell_angle_gamma 90.00
loop_
_atom_site_label
_atom_site_type_symbol
_atom_site_fract_x
_atom_site_fract_y
_atom_site_fract_z
Sr1 Sr 0.000 0.000 0.000
Cd1 Cd 0.000 0.000 0.500
Cd2 Cd 0.000 0.500 0.000
Cd3 Cd 0.500 0.000 0.000
Os1 Os 0.500 0.500 0.500
```


*two*
DFT (GGA-PBE) results for a relaxed SrCd3Os crystal.

Results
As for the crystal system: cubic. As for the space-group type: Pm-3m (221).

The structure in CIF format:
```
data_SrCd3Os
_symmetry_space_group_name_H-M 'P 1'
_symmetry_Int_Tables_number 1
_symmetry_space_group_name_Hall 'P 1'
_cell_length_a 5.233
_cell_length_b 5.233
_cell_length_c 5.233
_cell_angle_alpha 90.00
_cell_angle_beta 90.00
_cell_angle_gamma 90.00
loop_
_atom_site_label
_atom_site_type_symbol
_atom_site_fract_x
_atom_site_fract_y
_atom_site_fract_z
Sr1 Sr 0.000 0.000 0.000
Cd1 Cd 0.000 0.500 0.500
Cd2 Cd 0.500 0.000 0.500
Cd3 Cd 0.500 0.500 0.000
Os1 Os 0.500 0.500 0.500
```


Name the least stable of them. *one*.


*one*
DFT (GGA-PBE) results for a relaxed TaCdOs crystal.

Results
As for the crystal system: tetragonal. As for the space-group type: I4mm (107).

The structure in CIF format:
```
data_TaCdOs
_symmetry_space_group_name_H-M 'P 1'
_symmetry_Int_Tables_number 1
_symmetry_space_group_name_Hall 'P 1'
_cell_length_a 3.094
_cell_length_b 3.094
_cell_length_c 11.319
_cell_angle_alpha 90.00
_cell_angle_beta 90.00
_cell_angle_gamma 90.00
loop_
_atom_site_label
_atom_site_type_symbol
_atom_site_fract_x
_atom_site_fract_y
_atom_site_fract_z
Ta1 Ta 0.000 0.000 0.000
Ta2 Ta 0.500 0.500 0.500
Cd1 Cd 0.000 0.000 0.695
Cd2 Cd 0.500 0.500 0.195
Os1 Os 0.000 0.000 0.371
Os2 Os 0.500 0.500 0.871
```


*two*
DFT (GGA-PBE) results for a relaxed TaCdOs crystal.

Results
As for the crystal system: trigonal. As for the space-group type: P3m1 (156).

The structure in CIF format:
```
data_TaCdOs
_symmetry_space_group_name_H-M 'P 1'
_symmetry_Int_Tables_number 1
_symmetry_space_group_name_Hall 'P 1'
_cell_length_a 4.551
_cell_length_b 4.551
_cell_length_c 2.894
_cell_angle_alpha 90.00
_cell_angle_beta 90.00
_cell_angle_gamma 120.00
loop_
_atom_site_label
_atom_site_type_symbol
_atom_site_fract_x
_atom_site_fract_y
_atom_site_fract_z
Ta1 Ta 0.000 0.000 0.000
Cd1 Cd 0.667 0.333 0.404
Os1 Os 0.333 0.667 0.766
```


Name the least stable of them. *two*.